# 1
Below is crystalline KSr2Ir at its relaxed geometry, with properties calculated at the PBE-GGA level.

Cell: 6.8725 6.8725 7.3187 Å, 119.60 119.60 35.25°
With the nearest neighbours (Å) after each atom.
Fractional positions:
K1 0.0000 0.0000 0.0000  3 Ir 3.46-3.78, 1 Sr 3.87
Sr1 0.6543 0.6543 0.6832  2 Ir 2.92
Sr2 0.8188 0.8188 0.2943  2 Ir 2.88
Ir1 0.2879 0.2879 0.9970  4 Sr 2.88-2.92

The space-group type is No. 8. Its total magnetization is 0.000 μB/f.u. The energy above the most stable polymorph in this dataset is 65 kJ/mol of formula units. As for the density of states at the Fermi level: 0.562 states/eV per atom. The formation energy comes out at 0.17 eV/atom.


# 2
Below is crystalline CeTlCuSe4 at its relaxed geometry, with properties calculated at the PBE-GGA level.

Cell: 7.2759 5.6284 9.5131 Å, 90.00 108.07 90.00°
With the nearest neighbours (Å) after each atom.
Fractional positions:
Ce1 0.2273 0.2500 0.4442  8 Se 2.89-3.08
Ce2 0.7727 0.7500 0.5558  8 Se 2.89-3.08
Tl1 0.2256 0.2500 0.9613  5 Se 3.12-3.42
Tl2 0.7744 0.7500 0.0387  5 Se 3.12-3.42
Cu1 0.2479 0.7500 0.6765  4 Se 2.37-2.43
Cu2 0.7521 0.2500 0.3235  4 Se 2.37-2.43
Se1 0.0629 0.7500 0.8429  1 Cu 2.37
Se2 0.0798 0.7500 0.4150  1 Cu 2.41
Se3 0.4766 0.5125 0.2895  1 Cu 2.43, 1 Se 2.67
Se4 0.4766 0.9875 0.2895  1 Cu 2.43, 1 Se 2.67
Se5 0.5234 0.0125 0.7105  1 Cu 2.43, 1 Se 2.67
Se6 0.5234 0.4875 0.7105  1 Cu 2.43, 1 Se 2.67
Se7 0.9202 0.2500 0.5850  1 Cu 2.41
Se8 0.9371 0.2500 0.1571  1 Cu 2.37

The space-group type is No. 11. Its total magnetization is 0.000 μB/f.u. As for the density of states at the Fermi level: 0.717 states/eV per atom. The calculation puts the uncorrected formation energy at -80 kJ per mole of atoms.


# 3
Below is crystalline POsRuN at its relaxed geometry, with properties calculated at the PBE-GGA level.

Cell: 3.1894 3.1894 6.3321 Å, 90.00 90.00 120.00°
With the nearest neighbours (Å) after each atom.
Fractional positions:
P1 0.0000 0.0000 0.0000  1 Ru 2.31, 3 Os 2.32
Os1 0.6667 0.3333 0.7762  1 N 2.05
Ru1 0.0000 0.0000 0.3651  3 N 1.92
N1 0.6667 0.3333 0.4528  3 Ru 1.92, 1 Os 2.05

The space-group type is No. 156. Its total magnetization is 0.000 μB/f.u. The energy above the most stable polymorph in this dataset is 0 kJ/mol of formula units. As for the density of states at the Fermi level: 0.193 states/eV per atom. The calculation puts the uncorrected formation energy at 5 kJ per mole of atoms.


# 4
Below is crystalline LiVPd2Cl at its relaxed geometry, with properties calculated at the PBE-GGA level.

Cell: 4.5759 4.5759 5.9525 Å, 90.00 90.00 90.00°
With the nearest neighbours (Å) after each atom.
Fractional positions:
Li1 0.0000 0.0000 0.0000  2 V 2.98, 4 Cl 3.24
V1 0.0000 0.0000 0.5000  4 Pd 2.29
Pd1 0.0000 0.5000 0.5000  2 V 2.29
Pd2 0.5000 0.0000 0.5000  2 V 2.29
Cl1 0.5000 0.5000 0.0000  4 Li 3.24

The space-group type is No. 123. Its total magnetization is 2.496 μB/f.u. As for the density of states at the Fermi level: 0.820 states/eV per atom. The calculation puts the uncorrected formation energy at 52 kJ per mole of atoms.


# 5
Below is crystalline Ce3Pr4YSe8 at its relaxed geometry, with properties calculated at the PBE-GGA level.

Cell: 8.4446 8.4446 8.4446 Å, 59.94 59.94 59.94°
With the nearest neighbours (Å) after each atom.
Fractional positions:
Ce1 0.0000 0.5000 0.5000  6 Se 2.96
Ce2 0.5000 0.0000 0.5000  6 Se 2.96
Ce3 0.5000 0.5000 0.0000  6 Se 2.96
Pr1 0.0000 0.0000 0.5000  6 Se 3.00-3.01
Pr2 0.0000 0.5000 0.0000  6 Se 3.00-3.01
Pr3 0.5000 0.0000 0.0000  6 Se 3.00-3.01
Pr4 0.5000 0.5000 0.5000  6 Se 3.05
Y1 0.0000 0.0000 0.0000  6 Se 2.92
Se1 0.2446 0.2446 0.7516  1 Y 2.92, 2 Ce 2.96, 3 Pr 3.01-3.05
Se2 0.2446 0.7516 0.2446  1 Y 2.92, 2 Ce 2.96, 3 Pr 3.01-3.05
Se3 0.2484 0.7554 0.7554  1 Y 2.92, 2 Ce 2.96, 3 Pr 3.01-3.05
Se4 0.2517 0.2517 0.2517  3 Ce 2.96, 3 Pr 3.00
Se5 0.7483 0.7483 0.7483  3 Ce 2.96, 3 Pr 3.00
Se6 0.7516 0.2446 0.2446  1 Y 2.92, 2 Ce 2.96, 3 Pr 3.01-3.05
Se7 0.7554 0.2484 0.7554  1 Y 2.92, 2 Ce 2.96, 3 Pr 3.01-3.05
Se8 0.7554 0.7554 0.2484  1 Y 2.92, 2 Ce 2.96, 3 Pr 3.01-3.05

The space-group type is No. 166. Its total magnetization is 2.786 μB/f.u. As for the density of states at the Fermi level: 1.381 states/eV per atom. The calculation puts the uncorrected formation energy at -177 kJ per mole of atoms.


# 6
Below is crystalline Mg2AlCr at its relaxed geometry, with properties calculated at the PBE-GGA level.

Cell: 5.4026 5.4026 6.0978 Å, 105.69 105.69 58.33°
With the nearest neighbours (Å) after each atom.
Fractional positions:
Mg1 0.0000 0.0000 0.0000  4 Cr 2.77-2.86, 4 Al 2.78-2.83
Mg2 0.1231 0.4682 0.3980  2 Cr 2.87-2.96, 4 Al 3.00-3.18, 5 Mg 3.02-3.21
Mg3 0.5318 0.8769 0.6020  2 Cr 2.87-2.96, 4 Al 3.00-3.18, 5 Mg 3.02-3.21
Mg4 0.8725 0.1275 0.5000  2 Al 2.80, 2 Cr 2.80, 6 Mg 3.02-3.12
Al1 0.0640 0.4382 0.8891  3 Cr 2.60-2.76, 3 Mg 2.78-2.83
Al2 0.5618 0.9360 0.1109  3 Cr 2.60-2.76, 3 Mg 2.78-2.83
Cr1 0.5049 0.4855 0.1610  1 Cr 1.99
Cr2 0.5145 0.4951 0.8390  1 Cr 1.99

The space-group type is No. 5. Its total magnetization is 0.234 μB/f.u. As for the density of states at the Fermi level: 0.637 states/eV per atom. The formation energy comes out at 0.18 eV/atom.


# 7
Below is crystalline Te5Pt3 at its relaxed geometry, with properties calculated at the PBE-GGA level.

Cell: 7.4319 7.4319 4.0521 Å, 90.00 90.00 115.66°
With the nearest neighbours (Å) after each atom.
Fractional positions:
Te1 0.0000 0.0000 0.0000  4 Te 3.01
Te2 0.0000 0.5000 0.0000  4 Pt 3.00
Te3 0.2813 0.2813 0.5000  4 Pt 2.66-2.77
Te4 0.5000 0.0000 0.0000  4 Pt 3.00
Te5 0.7187 0.7187 0.5000  4 Pt 2.66-2.77
Pt1 0.3281 0.6719 0.5000  6 Te 2.77-3.00, 2 Pt 2.96
Pt2 0.5000 0.5000 0.0000  4 Te 2.66, 4 Pt 2.96
Pt3 0.6719 0.3281 0.5000  6 Te 2.77-3.00, 2 Pt 2.96

The space-group type is No. 65. Its total magnetization is 0.000 μB/f.u. As for the density of states at the Fermi level: 0.742 states/eV per atom. The calculation puts the uncorrected formation energy at 15 kJ per mole of atoms.


# 8
Below is crystalline Dy6Tl2Rh at its relaxed geometry, with properties calculated at the PBE-GGA level.

Cell: 8.6520 8.6520 8.6520 Å, 145.71 130.50 61.60°
With the nearest neighbours (Å) after each atom.
Fractional positions:
Dy1 0.0855 0.3457 0.7398  1 Rh 2.88, 3 Tl 3.16-3.18
Dy2 0.2264 0.0000 0.2264  2 Rh 3.03, 2 Tl 3.18, 1 Dy 3.28
Dy3 0.3941 0.6543 0.7398  1 Rh 2.88, 3 Tl 3.16-3.18
Dy4 0.6059 0.3457 0.2602  1 Rh 2.88, 3 Tl 3.16-3.18
Dy5 0.7736 0.0000 0.7736  2 Rh 3.03, 2 Tl 3.18, 1 Dy 3.28
Dy6 0.9145 0.6543 0.2602  1 Rh 2.88, 3 Tl 3.16-3.18
Tl1 0.3323 0.8323 0.5000  8 Dy 3.16-3.18
Tl2 0.6677 0.1677 0.5000  8 Dy 3.16-3.18
Rh1 0.0000 0.5000 0.5000  8 Dy 2.88-3.03

The space-group type is No. 71. Its total magnetization is 0.000 μB/f.u. As for the density of states at the Fermi level: 0.889 states/eV per atom. The formation energy comes out at -0.22 eV/atom.


Summary of total DFT energy (no corrections) in eV/atom
-3.159, -4.586, -8.512, -4.110, -6.285, -3.963, -4.075, -4.636
(order as listed above)